Model P:
A plane-wave DFT calculation with PBE-GGA was carried out for a geometry-optimized Re2BrCl structure.

CIF file:
```
data_Re2BrCl
_cell_length_a 3.538
_cell_length_b 3.538
_cell_length_c 9.169
_cell_angle_alpha 89.29
_cell_angle_beta 89.29
_cell_angle_gamma 58.94
_symmetry_space_group_name_H-M 'P 1'
_symmetry_Int_Tables_number 1
loop_
_symmetry_equiv_pos_as_xyz
'x,y,z'
loop_
_atom_site_label
_atom_site_type_symbol
_atom_site_fract_x
_atom_site_fract_y
_atom_site_fract_z
_atom_site_occupancy
Re1 Re 0.778 0.778 0.793 1
Br1 Br 0.474 0.474 0.581 1
Cl1 Cl 0.130 0.130 0.186 1
Re2 Re 0.118 0.118 0.940 1
```

Values from the calculation:
Crystal system: monoclinic

***

Model Q:
A plane-wave DFT calculation with PBE-GGA was carried out for a geometry-optimized Re2BrCl structure.

CIF file:
```
data_Re2BrCl
_cell_length_a 3.018
_cell_length_b 3.018
_cell_length_c 8.958
_cell_angle_alpha 90.00
_cell_angle_beta 90.00
_cell_angle_gamma 123.68
_symmetry_space_group_name_H-M 'P 1'
_symmetry_Int_Tables_number 1
loop_
_symmetry_equiv_pos_as_xyz
'x,y,z'
loop_
_atom_site_label
_atom_site_type_symbol
_atom_site_fract_x
_atom_site_fract_y
_atom_site_fract_z
_atom_site_occupancy
Re1 Re 0.000 0.000 0.993 1
Re2 Re 0.000 0.000 0.507 1
Br1 Br 0.500 0.500 0.250 1
Cl1 Cl 0.500 0.500 0.750 1
```

Values from the calculation:
Crystal system: orthorhombic

***

Model R:
A plane-wave DFT calculation with PBE-GGA was carried out for a geometry-optimized Re2BrCl structure.

CIF file:
```
data_Re2BrCl
_cell_length_a 8.550
_cell_length_b 8.550
_cell_length_c 8.550
_cell_angle_alpha 19.98
_cell_angle_beta 19.98
_cell_angle_gamma 19.98
_symmetry_space_group_name_H-M 'P 1'
_symmetry_Int_Tables_number 1
loop_
_symmetry_equiv_pos_as_xyz
'x,y,z'
loop_
_atom_site_label
_atom_site_type_symbol
_atom_site_fract_x
_atom_site_fract_y
_atom_site_fract_z
_atom_site_occupancy
Re1 Re 0.499 0.499 0.499 1
Br1 Br 0.250 0.250 0.250 1
Cl1 Cl 0.750 0.750 0.750 1
Re2 Re 0.001 0.001 0.001 1
```

Values from the calculation:
Crystal system: trigonal

***

Model S:
A plane-wave DFT calculation with PBE-GGA was carried out for a geometry-optimized Re2BrCl structure.

CIF file:
```
data_Re2BrCl
_cell_length_a 3.102
_cell_length_b 3.102
_cell_length_c 10.105
_cell_angle_alpha 90.00
_cell_angle_beta 90.00
_cell_angle_gamma 118.98
_symmetry_space_group_name_H-M 'P 1'
_symmetry_Int_Tables_number 1
loop_
_symmetry_equiv_pos_as_xyz
'x,y,z'
loop_
_atom_site_label
_atom_site_type_symbol
_atom_site_fract_x
_atom_site_fract_y
_atom_site_fract_z
_atom_site_occupancy
Re1 Re 0.500 0.500 0.207 1
Br1 Br 0.000 0.000 0.442 1
Cl1 Cl 0.500 0.500 0.824 1
Re2 Re 0.000 0.000 0.027 1
```

Values from the calculation:
Crystal system: orthorhombic

***

Tell me which of them is the most stable. Sure, it is model P.

***

Model P:
A plane-wave DFT calculation with PBE-GGA was carried out for a geometry-optimized Re2BrCl structure.

CIF file:
```
data_Re2BrCl
_cell_length_a 5.395
_cell_length_b 5.395
_cell_length_c 5.395
_cell_angle_alpha 149.26
_cell_angle_beta 122.71
_cell_angle_gamma 66.43
_symmetry_space_group_name_H-M 'P 1'
_symmetry_Int_Tables_number 1
loop_
_symmetry_equiv_pos_as_xyz
'x,y,z'
loop_
_atom_site_label
_atom_site_type_symbol
_atom_site_fract_x
_atom_site_fract_y
_atom_site_fract_z
_atom_site_occupancy
Re1 Re 0.017 0.017 0.000 1
Cl1 Cl 0.250 0.750 0.500 1
Br1 Br 0.750 0.250 0.500 1
Re2 Re 0.483 0.483 0.000 1
```

Values from the calculation:
Crystal system: orthorhombic

***

Model Q:
A plane-wave DFT calculation with PBE-GGA was carried out for a geometry-optimized Re2BrCl structure.

CIF file:
```
data_Re2BrCl
_cell_length_a 9.676
_cell_length_b 9.676
_cell_length_c 9.676
_cell_angle_alpha 17.95
_cell_angle_beta 17.95
_cell_angle_gamma 17.95
_symmetry_space_group_name_H-M 'P 1'
_symmetry_Int_Tables_number 1
loop_
_symmetry_equiv_pos_as_xyz
'x,y,z'
loop_
_atom_site_label
_atom_site_type_symbol
_atom_site_fract_x
_atom_site_fract_y
_atom_site_fract_z
_atom_site_occupancy
Re1 Re 0.258 0.258 0.258 1
Br1 Br 0.518 0.518 0.518 1
Re2 Re 0.995 0.995 0.995 1
Cl1 Cl 0.728 0.728 0.728 1
```

Values from the calculation:
Crystal system: trigonal

***

Model R:
A plane-wave DFT calculation with PBE-GGA was carried out for a geometry-optimized Re2BrCl structure.

CIF file:
```
data_Re2BrCl
_cell_length_a 4.854
_cell_length_b 4.854
_cell_length_c 2.897
_cell_angle_alpha 90.00
_cell_angle_beta 90.00
_cell_angle_gamma 107.10
_symmetry_space_group_name_H-M 'P 1'
_symmetry_Int_Tables_number 1
loop_
_symmetry_equiv_pos_as_xyz
'x,y,z'
loop_
_atom_site_label
_atom_site_type_symbol
_atom_site_fract_x
_atom_site_fract_y
_atom_site_fract_z
_atom_site_occupancy
Re1 Re 0.500 0.500 0.000 1
Re2 Re 0.000 0.000 0.000 1
Br1 Br 0.500 0.000 0.500 1
Cl1 Cl 0.000 0.500 0.500 1
```

Values from the calculation:
Crystal system: orthorhombic

***

Tell me which of them is the most stable. Sure, it is model Q.

***

Model P:
A plane-wave DFT calculation with PBE-GGA was carried out for a geometry-optimized Re2BrCl structure.

CIF file:
```
data_Re2BrCl
_cell_length_a 4.440
_cell_length_b 3.694
_cell_length_c 5.249
_cell_angle_alpha 95.72
_cell_angle_beta 90.00
_cell_angle_gamma 90.00
_symmetry_space_group_name_H-M 'P 1'
_symmetry_Int_Tables_number 1
loop_
_symmetry_equiv_pos_as_xyz
'x,y,z'
loop_
_atom_site_label
_atom_site_type_symbol
_atom_site_fract_x
_atom_site_fract_y
_atom_site_fract_z
_atom_site_occupancy
Re1 Re 0.000 0.468 0.606 1
Re2 Re 0.000 0.032 0.894 1
Br1 Br 0.500 0.250 0.250 1
Cl1 Cl 0.500 0.750 0.750 1
```

Values from the calculation:
Crystal system: monoclinic

***

Model Q:
A plane-wave DFT calculation with PBE-GGA was carried out for a geometry-optimized Re2BrCl structure.

CIF file:
```
data_Re2BrCl
_cell_length_a 2.998
_cell_length_b 3.192
_cell_length_c 8.822
_cell_angle_alpha 90.28
_cell_angle_beta 90.00
_cell_angle_gamma 90.00
_symmetry_space_group_name_H-M 'P 1'
_symmetry_Int_Tables_number 1
loop_
_symmetry_equiv_pos_as_xyz
'x,y,z'
loop_
_atom_site_label
_atom_site_type_symbol
_atom_site_fract_x
_atom_site_fract_y
_atom_site_fract_z
_atom_site_occupancy
Re1 Re 0.000 0.874 0.038 1
Cl1 Cl 0.500 0.870 0.820 1
Re2 Re 0.500 0.376 0.203 1
Br1 Br 0.000 0.380 0.439 1
```

Values from the calculation:
Crystal system: monoclinic

***

Tell me which of them is the most stable. Sure, it is model Q.

***

Model P:
A plane-wave DFT calculation with PBE-GGA was carried out for a geometry-optimized Re2BrCl structure.

CIF file:
```
data_Re2BrCl
_cell_length_a 4.522
_cell_length_b 4.522
_cell_length_c 5.254
_cell_angle_alpha 79.04
_cell_angle_beta 79.04
_cell_angle_gamma 38.29
_symmetry_space_group_name_H-M 'P 1'
_symmetry_Int_Tables_number 1
loop_
_symmetry_equiv_pos_as_xyz
'x,y,z'
loop_
_atom_site_label
_atom_site_type_symbol
_atom_site_fract_x
_atom_site_fract_y
_atom_site_fract_z
_atom_site_occupancy
Cl1 Cl 0.250 0.250 0.250 1
Re1 Re 0.002 0.002 0.034 1
Br1 Br 0.750 0.750 0.750 1
Re2 Re 0.498 0.498 0.466 1
```

Values from the calculation:
Crystal system: monoclinic

***

Model Q:
A plane-wave DFT calculation with PBE-GGA was carried out for a geometry-optimized Re2BrCl structure.

CIF file:
```
data_Re2BrCl
_cell_length_a 6.438
_cell_length_b 6.438
_cell_length_c 6.438
_cell_angle_alpha 151.28
_cell_angle_beta 106.01
_cell_angle_gamma 81.21
_symmetry_space_group_name_H-M 'P 1'
_symmetry_Int_Tables_number 1
loop_
_symmetry_equiv_pos_as_xyz
'x,y,z'
loop_
_atom_site_label
_atom_site_type_symbol
_atom_site_fract_x
_atom_site_fract_y
_atom_site_fract_z
_atom_site_occupancy
Re1 Re 0.964 0.964 0.000 1
Cl1 Cl 0.174 0.674 0.500 1
Br1 Br 0.568 0.568 0.000 1
Re2 Re 0.793 0.293 0.500 1
```

Values from the calculation:
Crystal system: orthorhombic

***

Model R:
A plane-wave DFT calculation with PBE-GGA was carried out for a geometry-optimized Re2BrCl structure.

CIF file:
```
data_Re2BrCl
_cell_length_a 4.451
_cell_length_b 4.451
_cell_length_c 4.451
_cell_angle_alpha 60.00
_cell_angle_beta 60.00
_cell_angle_gamma 60.00
_symmetry_space_group_name_H-M 'P 1'
_symmetry_Int_Tables_number 1
loop_
_symmetry_equiv_pos_as_xyz
'x,y,z'
loop_
_atom_site_label
_atom_site_type_symbol
_atom_site_fract_x
_atom_site_fract_y
_atom_site_fract_z
_atom_site_occupancy
Br1 Br 0.500 0.500 0.500 1
Cl1 Cl 0.000 0.000 0.000 1
Re1 Re 0.250 0.250 0.250 1
Re2 Re 0.750 0.750 0.750 1
```

Values from the calculation:
Crystal system: cubic

***

Tell me which of them is the most stable. Sure, it is model Q.